## GdCo4Ag3O12 (GGA+U)

Data for an optimized crystal structure of GdCo4Ag3O12. Values from VASP.

Cell and atoms, written as Quantum ESPRESSO input:
```
&SYSTEM
  ibrav = 0, nat = 20, ntyp = 4
/
ATOMIC_SPECIES
Gd 157.25 Gd.upf
Co 58.93 Co.upf
Ag 107.87 Ag.upf
O 16.00 O.upf
ATOMIC_POSITIONS crystal
Gd 0.000 0.000 0.000
Co 0.000 0.000 0.500
Co 0.000 0.500 0.000
Co 0.500 0.000 0.000
Co 0.500 0.500 0.500
Ag 0.000 0.500 0.500
Ag 0.500 0.000 0.500
Ag 0.500 0.500 0.000
O 0.110 0.292 0.818
O 0.182 0.473 0.292
O 0.182 0.890 0.708
O 0.292 0.182 0.473
O 0.292 0.818 0.110
O 0.473 0.292 0.182
O 0.527 0.708 0.818
O 0.708 0.182 0.890
O 0.708 0.818 0.527
O 0.818 0.110 0.292
O 0.818 0.527 0.708
O 0.890 0.708 0.182
CELL_PARAMETERS angstrom
-3.692 3.692 3.692
3.692 -3.692 3.692
3.692 3.692 -3.692
```

Output
* total magnetic moment: 0.400 μB per atom
* final energy: -5.56 eV/atom
* density: 7.5 g/cm³
* SG: Im-3 (204)